Record 1
An optimized crystal structure of LaBeSi2. Source: the Alexandria database, functional GGA-PBE.

Output
The symmetry is C2/m (12). The electronic total energy is -5.216 eV per atom.

Unit cell a=4.0891 b=4.0891 c=5.7349 alpha=69.13 beta=69.13 gamma=57.30
Last column: nearest neighbours and their distance in Å.
Sites, in units of the cell vectors:
Be1 0.7500 0.7500 0.7500  6 Si 2.36-2.47
Si1 0.0496 0.0496 0.8587  3 Be 2.36-2.47, 3 Si 2.57-2.63
La1 0.2500 0.2500 0.2500  8 Si 3.10-3.19
Si2 0.4504 0.4504 0.6413  3 Be 2.36-2.47, 3 Si 2.57-2.63

Record 2
An optimized crystal structure of LaBe2Si. Source: the Alexandria database, functional GGA-PBE.

Output
The symmetry is P4/mmm (123). The electronic total energy is -4.243 eV per atom.

Unit cell a=3.2042 b=3.2042 c=6.4593 alpha=90.00 beta=90.00 gamma=90.00
Last column: nearest neighbours and their distance in Å.
Sites, in units of the cell vectors:
Si1 0.5000 0.5000 0.7500  8 Be 2.51
Be1 0.0000 0.0000 0.5831  1 Be 2.16
Be2 0.0000 0.0000 0.9169  1 Be 2.16
La1 0.5000 0.5000 0.2500  8 Be 3.12, 4 La 3.20, 2 Si 3.23

Record 3
An optimized crystal structure of LaBeSi. Source: the Alexandria database, functional GGA-PBE.

Output
The symmetry is F-43m (216). The electronic total energy is -4.866 eV per atom.

Unit cell a=4.4270 b=4.4270 c=4.4270 alpha=60.00 beta=60.00 gamma=60.00
Last column: nearest neighbours and their distance in Å.
Sites, in units of the cell vectors:
Si1 0.5000 0.5000 0.5000  4 Be 2.71
Be1 0.7500 0.7500 0.7500  4 La 2.71, 4 Si 2.71
La1 0.0000 0.0000 0.0000  4 Be 2.71